# 1
The following is a meta-GGA SCAN calculation of a PBEsol-optimized structure of Sb2AuO, from Alexandria via LeMat-Bulk.

Summary:
Excess energy over the best structure of this formula in the dataset in meV per atom: 0
Volume in Å³/atom: 21.873
ΔE_f (raw) in eV/atom: -0.256

Cell: 7.723 7.723 7.723 Å, 141.79 141.79 55.15°
Fractional positions:
Sb  0.041  0.625  0.916
Sb  0.375  0.291  0.416
Sb  0.709  0.125  0.084
Sb  0.875  0.959  0.584
Au  0.250  0.750  0.500
Au  0.500  0.500  0.000
O  0.000  0.000  0.000
O  0.750  0.250  0.500


# 2
The following is a meta-GGA SCAN calculation of a PBEsol-optimized structure of ZnCrNi2, from Alexandria via LeMat-Bulk.

Summary:
Volume in Å³/atom: 11.166
Formation enthalpy at 0 K in eV per atom: 0.1210

Cell: 8.356 8.356 8.356 Å, 17.23 17.23 17.23°
Fractional positions:
Zn  0.000  0.000  0.000
Cr  0.243  0.243  0.243
Ni  0.498  0.498  0.498
Ni  0.750  0.750  0.750


# 3
The following is a meta-GGA SCAN calculation of a PBEsol-optimized structure of Li3Ta12O31, from Alexandria via LeMat-Bulk.

Summary:
Volume in Å³/atom: 12.778
ΔE_f (raw) in eV/atom: -2.935

Cell: 8.977 3.879 16.881 Å, 90.00 90.06 90.00°
Fractional positions:
Li  0.000  0.000  0.000
Li  0.002  0.000  0.231
Li  0.691  0.000  0.727
Ta  0.031  0.500  0.423
Ta  0.032  0.500  0.805
Ta  0.160  0.500  0.616
Ta  0.244  0.500  0.235
Ta  0.244  0.500  0.996
Ta  0.446  0.500  0.498
Ta  0.448  0.500  0.735
Ta  0.525  0.500  0.116
Ta  0.658  0.500  0.307
Ta  0.660  0.500  0.925
Ta  0.798  0.500  0.613
Ta  0.889  0.500  0.116
O  0.017  0.000  0.801
O  0.023  0.000  0.428
O  0.023  0.500  0.026
O  0.023  0.500  0.205
O  0.163  0.000  0.613
O  0.180  0.500  0.343
O  0.180  0.500  0.887
O  0.220  0.000  0.000
O  0.220  0.000  0.230
O  0.230  0.500  0.734
O  0.231  0.500  0.495
O  0.296  0.500  0.115
O  0.394  0.500  0.614
O  0.460  0.500  0.236
O  0.460  0.500  0.996
O  0.467  0.000  0.730
O  0.508  0.500  0.392
O  0.511  0.500  0.844
O  0.531  0.000  0.117
O  0.647  0.500  0.533
O  0.658  0.000  0.304
O  0.664  0.500  0.704
O  0.674  0.000  0.932
O  0.714  0.500  0.043
O  0.715  0.500  0.191
O  0.791  0.000  0.622
O  0.845  0.500  0.865
O  0.849  0.500  0.360
O  0.907  0.000  0.116
O  0.973  0.500  0.541
O  0.976  0.500  0.688


# 4
The following is a meta-GGA SCAN calculation of a PBEsol-optimized structure of CuSb4Rh, from Alexandria via LeMat-Bulk.

Summary:
Volume in Å³/atom: 24.346
ΔE_f (raw) in eV/atom: 0.983

Cell: 5.911 5.911 5.911 Å, 60.00 60.00 60.00°
Fractional positions:
Cu  0.000  0.000  0.000
Sb  0.374  0.374  0.374
Sb  0.374  0.374  0.877
Sb  0.374  0.877  0.374
Sb  0.877  0.374  0.374
Rh  0.750  0.750  0.750


# 5
The following is a meta-GGA SCAN calculation of a PBEsol-optimized structure of Ca2NiPb, from Alexandria via LeMat-Bulk.

Summary:
Volume in Å³/atom: 24.404
Formation enthalpy at 0 K in eV per atom: -0.2440

Cell: 6.330 6.330 6.330 Å, 148.04 132.88 58.07°
Fractional positions:
Ca  0.000  0.000  0.000
Ca  0.698  0.198  0.500
Ni  0.221  0.721  0.500
Pb  0.401  0.401  0.000


# 6
The following is a meta-GGA SCAN calculation of a PBEsol-optimized structure of Be2SiNi, from Alexandria via LeMat-Bulk.

Summary:
Volume in Å³/atom: 10.022
ΔE_f (raw) in eV/atom: -0.105

Cell: 2.513 3.854 4.152 Å, 90.00 94.34 90.00°
Fractional positions:
Be  0.155  0.000  0.268
Be  0.845  0.000  0.732
Si  0.000  0.500  0.000
Ni  0.500  0.500  0.500


# 7
The following is a meta-GGA SCAN calculation of a PBEsol-optimized structure of ZnCrNi2, from Alexandria via LeMat-Bulk.

Summary:
Volume in Å³/atom: 11.050
Formation enthalpy at 0 K in eV per atom: -0.0595

Cell: 2.501 2.501 7.065 Å, 90.00 90.00 90.00°
Fractional positions:
Zn  0.000  0.000  0.000
Cr  0.000  0.000  0.500
Ni  0.500  0.500  0.258
Ni  0.500  0.500  0.742


# 8
The following is a meta-GGA SCAN calculation of a PBEsol-optimized structure of AgHg2Br, from Alexandria via LeMat-Bulk.

Summary:
Excess energy over the best structure of this formula in the dataset in meV per atom: 26
Volume in Å³/atom: 24.461
ΔE_f (raw) in eV/atom: -0.136

Cell: 4.029 3.751 6.780 Å, 90.00 107.28 90.00°
Fractional positions:
Ag  0.000  0.000  0.000
Hg  0.426  0.500  0.852
Hg  0.788  0.000  0.573
Br  0.155  0.500  0.308


# 9
The following is a meta-GGA SCAN calculation of a PBEsol-optimized structure of MgGa2CuAg, from Alexandria via LeMat-Bulk.

Summary:
Volume in Å³/atom: 19.584
Formation enthalpy at 0 K in eV per atom: 0.1740

Cell: 4.498 4.498 4.841 Å, 90.00 90.00 90.00°
Fractional positions:
Mg  0.000  0.000  0.000
Ga  0.000  0.500  0.500
Ga  0.500  0.000  0.500
Cu  0.000  0.000  0.500
Ag  0.500  0.500  0.000


# 10
The following is a meta-GGA SCAN calculation of a PBEsol-optimized structure of LiMg2Zn, from Alexandria via LeMat-Bulk.

Summary:
Volume in Å³/atom: 17.985
Formation enthalpy at 0 K in eV per atom: -0.1161

Cell: 3.247 3.247 6.823 Å, 90.00 90.00 90.00°
Fractional positions:
Li  0.000  0.000  0.000
Mg  0.000  0.000  0.568
Mg  0.500  0.500  0.260
Zn  0.500  0.500  0.811


# 11
The following is a meta-GGA SCAN calculation of a PBEsol-optimized structure of CaAu3, from Alexandria via LeMat-Bulk.

Summary:
Volume in Å³/atom: 19.239
Formation enthalpy at 0 K in eV per atom: -0.5973

Cell: 4.774 4.774 4.774 Å, 60.00 60.00 60.00°
Fractional positions:
Ca  0.000  0.000  0.000
Au  0.250  0.250  0.250
Au  0.500  0.500  0.500
Au  0.750  0.750  0.750


# 12
The following is a meta-GGA SCAN calculation of a PBEsol-optimized structure of SrTe4Br, from Alexandria via LeMat-Bulk.

Summary:
Volume in Å³/atom: 30.086
ΔE_f (raw) in eV/atom: -0.542

Cell: 6.344 6.344 6.344 Å, 60.00 60.00 60.00°
Fractional positions:
Sr  0.000  0.000  0.000
Te  0.375  0.375  0.375
Te  0.375  0.375  0.875
Te  0.375  0.875  0.375
Te  0.875  0.375  0.375
Br  0.750  0.750  0.750


# 13
The following is a meta-GGA SCAN calculation of a PBEsol-optimized structure of CaZrI2N, from Alexandria via LeMat-Bulk.

Summary:
Excess energy over the best structure of this formula in the dataset in meV per atom: 1083
Volume in Å³/atom: 27.335
ΔE_f (raw) in eV/atom: 0.373

Cell: 5.784 5.784 4.086 Å, 90.00 90.00 90.00°
Fractional positions:
Ca  0.000  0.000  0.000
Zr  0.500  0.500  0.500
I  0.000  0.500  0.000
I  0.500  0.000  0.000
N  0.000  0.000  0.500


# 14
The following is a meta-GGA SCAN calculation of a PBEsol-optimized structure of TcPtW2, from Alexandria via LeMat-Bulk.

Summary:
Excess energy over the best structure of this formula in the dataset in meV per atom: 176
Volume in Å³/atom: 15.024
Formation enthalpy at 0 K in eV per atom: -0.0043

Cell: 4.798 4.798 4.846 Å, 98.84 98.84 33.08°
Fractional positions:
Tc  0.000  0.000  0.000
Pt  0.500  0.500  0.500
W  0.249  0.249  0.750
W  0.751  0.751  0.250


# 15
The following is a meta-GGA SCAN calculation of a PBEsol-optimized structure of Li5VP2O8F2, from Alexandria via LeMat-Bulk.

Summary:
Volume in Å³/atom: 10.362
ΔE_f (raw) in eV/atom: -2.721

Cell: 9.832 9.832 6.683 Å, 90.00 90.00 120.00°
Fractional positions:
Li  0.000  0.000  0.000
Li  0.000  0.000  0.397
Li  0.149  0.318  0.231
Li  0.169  0.851  0.231
Li  0.333  0.167  0.450
Li  0.333  0.667  0.172
Li  0.333  0.667  0.691
Li  0.498  0.482  0.669
Li  0.518  0.016  0.669
Li  0.667  0.333  0.500
Li  0.667  0.333  0.898
Li  0.682  0.831  0.231
Li  0.833  0.166  0.450
Li  0.834  0.667  0.450
Li  0.984  0.502  0.669
V  0.333  0.167  0.949
V  0.833  0.167  0.949
V  0.833  0.667  0.949
P  0.138  0.294  0.691
P  0.156  0.862  0.691
P  0.510  0.471  0.207
P  0.529  0.039  0.207
P  0.706  0.844  0.691
P  0.961  0.490  0.207
O  0.028  0.191  0.865
O  0.061  0.213  0.493
O  0.129  0.629  0.199
O  0.153  0.939  0.493
O  0.163  0.972  0.865
O  0.166  0.462  0.698
O  0.292  0.289  0.728
O  0.296  0.834  0.698
O  0.371  0.500  0.199
O  0.374  0.045  0.170
O  0.500  0.871  0.199
O  0.504  0.362  0.034
O  0.513  0.394  0.406
O  0.538  0.704  0.698
O  0.606  0.119  0.406
O  0.638  0.142  0.034
O  0.670  0.626  0.170
O  0.711  0.003  0.728
O  0.787  0.847  0.493
O  0.809  0.837  0.865
O  0.858  0.496  0.034
O  0.881  0.487  0.406
O  0.955  0.330  0.170
O  0.997  0.708  0.728
F  0.187  0.153  0.170
F  0.480  0.181  0.728
F  0.701  0.520  0.728
F  0.819  0.299  0.728
F  0.847  0.034  0.170
F  0.966  0.813  0.170


# 16
The following is a meta-GGA SCAN calculation of a PBEsol-optimized structure of Be4HgW, from Alexandria via LeMat-Bulk.

Summary:
Volume in Å³/atom: 11.127
Formation enthalpy at 0 K in eV per atom: 0.3467

Cell: 4.554 4.554 4.554 Å, 60.00 60.00 60.00°
Fractional positions:
Be  0.380  0.380  0.380
Be  0.380  0.380  0.859
Be  0.380  0.859  0.380
Be  0.859  0.380  0.380
Hg  0.000  0.000  0.000
W  0.750  0.750  0.750


# 17
The following is a meta-GGA SCAN calculation of a PBEsol-optimized structure of CoCuRh2, from Alexandria via LeMat-Bulk.

Summary:
Excess energy over the best structure of this formula in the dataset in meV per atom: 0
Volume in Å³/atom: 12.435
Formation enthalpy at 0 K in eV per atom: 0.0628

Cell: 4.445 4.445 4.545 Å, 99.74 99.74 34.25°
Fractional positions:
Co  0.000  0.000  0.000
Cu  0.500  0.500  0.500
Rh  0.254  0.254  0.753
Rh  0.746  0.746  0.247


# 18
The following is a meta-GGA SCAN calculation of a PBEsol-optimized structure of ZnSi2Rh, from Alexandria via LeMat-Bulk.

Summary:
Volume in Å³/atom: 14.385
ΔE_f (raw) in eV/atom: -0.115

Cell: 2.985 4.217 4.656 Å, 90.00 100.90 90.00°
Fractional positions:
Zn  0.000  0.000  0.000
Si  0.390  0.500  0.231
Si  0.610  0.500  0.769
Rh  0.500  0.000  0.500


# 19
The following is a meta-GGA SCAN calculation of a PBEsol-optimized structure of Sc2CuMoF, from Alexandria via LeMat-Bulk.

Summary:
Volume in Å³/atom: 21.886
ΔE_f (raw) in eV/atom: 0.391

Cell: 4.926 4.926 4.509 Å, 90.00 90.00 90.00°
Fractional positions:
Sc  0.000  0.500  0.000
Sc  0.500  0.000  0.000
Cu  0.000  0.000  0.000
Mo  0.000  0.000  0.500
F  0.500  0.500  0.500


# 20
The following is a meta-GGA SCAN calculation of a PBEsol-optimized structure of YPb2Se, from Alexandria via LeMat-Bulk.

Summary:
Volume in Å³/atom: 26.403
ΔE_f (raw) in eV/atom: -0.644

Cell: 6.378 6.378 6.378 Å, 147.18 130.72 60.48°
Fractional positions:
Y  0.000  0.000  0.000
Pb  0.454  0.454  0.000
Pb  0.724  0.224  0.500
Se  0.194  0.694  0.500


# 21
The following is a meta-GGA SCAN calculation of a PBEsol-optimized structure of TeRh3C, from Alexandria via LeMat-Bulk.

Summary:
Volume in Å³/atom: 14.065
ΔE_f (raw) in eV/atom: 0.252

Cell: 4.128 4.128 4.128 Å, 90.00 90.00 90.00°
Fractional positions:
Te  0.000  0.000  0.000
Rh  0.000  0.500  0.500
Rh  0.500  0.000  0.500
Rh  0.500  0.500  0.000
C  0.500  0.500  0.500


# 22
The following is a meta-GGA SCAN calculation of a PBEsol-optimized structure of BeSe2IN, from Alexandria via LeMat-Bulk.

Summary:
Volume in Å³/atom: 22.263
ΔE_f (raw) in eV/atom: 1.622

Cell: 5.351 5.351 3.888 Å, 90.00 90.00 90.00°
Fractional positions:
Be  0.000  0.000  0.000
Se  0.000  0.500  0.500
Se  0.500  0.000  0.500
I  0.500  0.500  0.500
N  0.500  0.500  0.000


# 23
The following is a meta-GGA SCAN calculation of a PBEsol-optimized structure of Cs3Y2Br9, from Alexandria via LeMat-Bulk.

Summary:
Volume in Å³/atom: 35.945
ΔE_f (raw) in eV/atom: -2.130

Cell: 10.074 10.074 10.074 Å, 83.95 83.95 83.95°
Fractional positions:
Cs  0.088  0.750  0.412
Cs  0.250  0.588  0.912
Cs  0.412  0.088  0.750
Cs  0.588  0.912  0.250
Cs  0.750  0.412  0.088
Cs  0.912  0.250  0.588
Y  0.150  0.150  0.150
Y  0.350  0.350  0.350
Y  0.650  0.650  0.650
Y  0.850  0.850  0.850
Br  0.079  0.267  0.912
Br  0.088  0.921  0.733
Br  0.092  0.408  0.250
Br  0.233  0.421  0.588
Br  0.250  0.092  0.408
Br  0.267  0.912  0.079
Br  0.408  0.250  0.092
Br  0.412  0.767  0.579
Br  0.421  0.588  0.233
Br  0.579  0.412  0.767
Br  0.588  0.233  0.421
Br  0.592  0.750  0.908
Br  0.733  0.088  0.921
Br  0.750  0.908  0.592
Br  0.767  0.579  0.412
Br  0.908  0.592  0.750
Br  0.912  0.079  0.267
Br  0.921  0.733  0.088


no.,DFT total energy (eV per cell)
1,-301.870
2,-63.763
3,-1134.351
4,-192.117
5,-112.257
6,-35.318
7,-64.485
8,-187.704
9,-83.363
10,-26.317
11,-219.524
12,-193.992
13,-121.273
14,-244.646
15,-468.422
16,-153.188
17,-99.795
18,-67.776
19,-80.144
20,-202.059
21,-147.406
22,-82.433
23,-748.152